<P>
# FeCuRu (PBE, relaxed)
# total magnetic moment = 3.4 μB/cell
# SG = Pmmn, No. 59
# Fermi-level density of states = 1.342 states/eV/atom
data_FeCuRu
_cell_length_a 3.587
_cell_length_b 2.627
_cell_length_c 11.019
_cell_angle_alpha 76.20
_cell_angle_beta 130.63
_cell_angle_gamma 90.02
_symmetry_space_group_name_H-M 'P 1'
_symmetry_Int_Tables_number 1
_symmetry_space_group_name_Hall 'P 1'
loop_
_atom_site_label
_atom_site_type_symbol
_atom_site_fract_x
_atom_site_fract_y
_atom_site_fract_z
Ru1 Ru 0.222 0.014 0.236
Ru2 Ru 0.778 0.986 0.764
Fe1 Fe 0.418 0.666 0.084
Fe2 Fe 0.582 0.334 0.916
Cu1 Cu 0.093 0.329 0.421
Cu2 Cu 0.907 0.671 0.579

***

<Q>
# FeCuRu (PBE, relaxed)
# total magnetic moment = 1.9 μB/cell
# SG = I4mm, No. 107
# Fermi-level density of states = 1.248 states/eV/atom
data_FeCuRu
_cell_length_a 5.696
_cell_length_b 5.696
_cell_length_c 5.696
_cell_angle_alpha 153.04
_cell_angle_beta 153.04
_cell_angle_gamma 38.49
_symmetry_space_group_name_H-M 'P 1'
_symmetry_Int_Tables_number 1
_symmetry_space_group_name_Hall 'P 1'
loop_
_atom_site_label
_atom_site_type_symbol
_atom_site_fract_x
_atom_site_fract_y
_atom_site_fract_z
Cu1 Cu 0.995 0.995 0.000
Fe1 Fe 0.331 0.331 0.000
Ru1 Ru 0.674 0.674 0.000

***

<R>
# FeCuRu (PBE, relaxed)
# total magnetic moment = 3.1 μB/cell
# SG = Fmm2, No. 42
# Fermi-level density of states = 1.108 states/eV/atom
data_FeCuRu
_cell_length_a 6.674
_cell_length_b 6.494
_cell_length_c 2.571
_cell_angle_alpha 82.72
_cell_angle_beta 74.82
_cell_angle_gamma 22.46
_symmetry_space_group_name_H-M 'P 1'
_symmetry_Int_Tables_number 1
_symmetry_space_group_name_Hall 'P 1'
loop_
_atom_site_label
_atom_site_type_symbol
_atom_site_fract_x
_atom_site_fract_y
_atom_site_fract_z
Cu1 Cu 0.004 0.004 0.996
Fe1 Fe 0.666 0.666 0.334
Ru1 Ru 0.330 0.330 0.670

***

So which one wins? Going from most stable to least: <P>, <Q>, <R>.

***

<P>
# Fe2Cu2Ru (PBE, relaxed)
# total magnetic moment = 13.8 μB/cell
# SG = P4/mbm, No. 127
# Fermi-level density of states = 0.736 states/eV/atom
data_Fe2Cu2Ru
_cell_length_a 7.010
_cell_length_b 7.010
_cell_length_c 2.605
_cell_angle_alpha 90.00
_cell_angle_beta 90.00
_cell_angle_gamma 90.00
_symmetry_space_group_name_H-M 'P 1'
_symmetry_Int_Tables_number 1
_symmetry_space_group_name_Hall 'P 1'
loop_
_atom_site_label
_atom_site_type_symbol
_atom_site_fract_x
_atom_site_fract_y
_atom_site_fract_z
Ru1 Ru 0.000 0.000 0.000
Ru2 Ru 0.500 0.500 0.000
Fe1 Fe 0.379 0.879 0.000
Fe2 Fe 0.879 0.621 0.000
Fe3 Fe 0.621 0.121 0.000
Fe4 Fe 0.121 0.379 0.000
Cu1 Cu 0.176 0.676 0.500
Cu2 Cu 0.676 0.824 0.500
Cu3 Cu 0.824 0.324 0.500
Cu4 Cu 0.324 0.176 0.500

***

<Q>
# Fe2Cu2Ru (PBE, relaxed)
# total magnetic moment = 11.4 μB/cell
# SG = P4/mbm, No. 127
# Fermi-level density of states = 1.157 states/eV/atom
data_Fe2Cu2Ru
_cell_length_a 6.937
_cell_length_b 6.937
_cell_length_c 2.617
_cell_angle_alpha 90.00
_cell_angle_beta 90.00
_cell_angle_gamma 90.00
_symmetry_space_group_name_H-M 'P 1'
_symmetry_Int_Tables_number 1
_symmetry_space_group_name_Hall 'P 1'
loop_
_atom_site_label
_atom_site_type_symbol
_atom_site_fract_x
_atom_site_fract_y
_atom_site_fract_z
Ru1 Ru 0.000 0.000 0.000
Ru2 Ru 0.500 0.500 0.000
Fe1 Fe 0.176 0.676 0.500
Fe2 Fe 0.676 0.824 0.500
Fe3 Fe 0.824 0.324 0.500
Fe4 Fe 0.324 0.176 0.500
Cu1 Cu 0.378 0.878 0.000
Cu2 Cu 0.878 0.622 0.000
Cu3 Cu 0.622 0.122 0.000
Cu4 Cu 0.122 0.378 0.000

***

So which one wins? Going from most stable to least: <Q>, <P>.

***

<P>
# FeCu2Ru2 (PBE, relaxed)
# total magnetic moment = 2.3 μB/cell
# SG = I4/mmm, No. 139
# Fermi-level density of states = 0.781 states/eV/atom
data_FeCu2Ru2
_cell_length_a 3.228
_cell_length_b 3.228
_cell_length_c 7.016
_cell_angle_alpha 76.70
_cell_angle_beta 76.70
_cell_angle_gamma 90.00
_symmetry_space_group_name_H-M 'P 1'
_symmetry_Int_Tables_number 1
_symmetry_space_group_name_Hall 'P 1'
loop_
_atom_site_label
_atom_site_type_symbol
_atom_site_fract_x
_atom_site_fract_y
_atom_site_fract_z
Ru1 Ru 0.405 0.405 0.191
Ru2 Ru 0.595 0.595 0.809
Fe1 Fe 0.000 0.000 0.000
Cu1 Cu 0.750 0.250 0.500
Cu2 Cu 0.250 0.750 0.500

***

<Q>
# FeCu2Ru2 (PBE, relaxed)
# total magnetic moment = 6.5 μB/cell
# SG = P4/mbm, No. 127
# Fermi-level density of states = 0.978 states/eV/atom
data_FeCu2Ru2
_cell_length_a 6.996
_cell_length_b 6.996
_cell_length_c 2.842
_cell_angle_alpha 90.00
_cell_angle_beta 90.00
_cell_angle_gamma 90.00
_symmetry_space_group_name_H-M 'P 1'
_symmetry_Int_Tables_number 1
_symmetry_space_group_name_Hall 'P 1'
loop_
_atom_site_label
_atom_site_type_symbol
_atom_site_fract_x
_atom_site_fract_y
_atom_site_fract_z
Ru1 Ru 0.375 0.875 0.000
Ru2 Ru 0.875 0.625 0.000
Ru3 Ru 0.625 0.125 0.000
Ru4 Ru 0.125 0.375 0.000
Fe1 Fe 0.000 0.000 0.000
Fe2 Fe 0.500 0.500 0.000
Cu1 Cu 0.172 0.672 0.500
Cu2 Cu 0.672 0.828 0.500
Cu3 Cu 0.828 0.328 0.500
Cu4 Cu 0.328 0.172 0.500

***

So which one wins? Going from most stable to least: <P>, <Q>.

***

<P>
# Fe2CuS3 (PBE, relaxed)
# total magnetic moment = 0.0 μB/cell
# SG = P3m1, No. 156
# Fermi-level density of states = 0.827 states/eV/atom
data_Fe2CuS3
_cell_length_a 3.577
_cell_length_b 3.577
_cell_length_c 8.587
_cell_angle_alpha 90.00
_cell_angle_beta 90.00
_cell_angle_gamma 120.00
_symmetry_space_group_name_H-M 'P 1'
_symmetry_Int_Tables_number 1
_symmetry_space_group_name_Hall 'P 1'
loop_
_atom_site_label
_atom_site_type_symbol
_atom_site_fract_x
_atom_site_fract_y
_atom_site_fract_z
Fe1 Fe 0.000 0.000 0.273
Fe2 Fe 0.667 0.333 0.564
Cu1 Cu 0.333 0.667 0.918
S1 S 0.000 0.000 0.020
S2 S 0.667 0.333 0.320
S3 S 0.333 0.667 0.655

***

<Q>
# Fe2CuS3 (PBE, relaxed)
# total magnetic moment = 0.0 μB/cell
# SG = Pnma, No. 62
# Fermi-level density of states = 0.742 states/eV/atom
data_Fe2CuS3
_cell_length_a 5.946
_cell_length_b 6.358
_cell_length_c 10.448
_cell_angle_alpha 90.00
_cell_angle_beta 90.00
_cell_angle_gamma 90.00
_symmetry_space_group_name_H-M 'P 1'
_symmetry_Int_Tables_number 1
_symmetry_space_group_name_Hall 'P 1'
loop_
_atom_site_label
_atom_site_type_symbol
_atom_site_fract_x
_atom_site_fract_y
_atom_site_fract_z
Fe1 Fe 0.479 0.927 0.909
Fe2 Fe 0.979 0.573 0.909
Fe3 Fe 0.021 0.427 0.091
Fe4 Fe 0.021 0.427 0.409
Fe5 Fe 0.979 0.573 0.591
Fe6 Fe 0.521 0.073 0.091
Fe7 Fe 0.479 0.927 0.591
Fe8 Fe 0.521 0.073 0.409
Cu1 Cu 0.958 0.938 0.250
Cu2 Cu 0.542 0.438 0.750
Cu3 Cu 0.042 0.062 0.750
Cu4 Cu 0.458 0.562 0.250
S1 S 0.634 0.635 0.924
S2 S 0.866 0.135 0.424
S3 S 0.645 0.091 0.750
S4 S 0.355 0.909 0.250
S5 S 0.134 0.865 0.576
S6 S 0.366 0.365 0.076
S7 S 0.366 0.365 0.424
S8 S 0.634 0.635 0.576
S9 S 0.134 0.865 0.924
S10 S 0.866 0.135 0.076
S11 S 0.145 0.409 0.750
S12 S 0.855 0.591 0.250

***

<R>
# Fe2CuS3 (PBE, relaxed)
# total magnetic moment = 0.0 μB/cell
# SG = Pnma, No. 62
# Fermi-level density of states = 0.774 states/eV/atom
data_Fe2CuS3
_cell_length_a 5.994
_cell_length_b 6.269
_cell_length_c 9.908
_cell_angle_alpha 90.00
_cell_angle_beta 90.00
_cell_angle_gamma 90.00
_symmetry_space_group_name_H-M 'P 1'
_symmetry_Int_Tables_number 1
_symmetry_space_group_name_Hall 'P 1'
loop_
_atom_site_label
_atom_site_type_symbol
_atom_site_fract_x
_atom_site_fract_y
_atom_site_fract_z
Fe1 Fe 0.365 0.452 0.097
Fe2 Fe 0.865 0.048 0.403
Fe3 Fe 0.135 0.952 0.597
Fe4 Fe 0.635 0.548 0.903
Fe5 Fe 0.865 0.048 0.097
Fe6 Fe 0.365 0.452 0.403
Fe7 Fe 0.135 0.952 0.903
Fe8 Fe 0.635 0.548 0.597
Cu1 Cu 0.238 0.442 0.750
Cu2 Cu 0.762 0.558 0.250
Cu3 Cu 0.738 0.058 0.750
Cu4 Cu 0.262 0.942 0.250
S1 S 0.298 0.657 0.569
S2 S 0.702 0.343 0.069
S3 S 0.650 0.905 0.250
S4 S 0.202 0.157 0.431
S5 S 0.298 0.657 0.931
S6 S 0.850 0.405 0.750
S7 S 0.798 0.843 0.569
S8 S 0.150 0.595 0.250
S9 S 0.202 0.157 0.069
S10 S 0.798 0.843 0.931
S11 S 0.350 0.095 0.750
S12 S 0.702 0.343 0.431

***

So which one wins? Going from most stable to least: <R>, <P>, <Q>.

***

<P>
# FeCu5S4 (PBE, relaxed)
# total magnetic moment = 4.3 μB/cell
# SG = Pm, No. 6
# Fermi-level density of states = 0.526 states/eV/atom
data_FeCu5S4
_cell_length_a 3.837
_cell_length_b 6.646
_cell_length_c 6.707
_cell_angle_alpha 70.49
_cell_angle_beta 90.00
_cell_angle_gamma 90.00
_symmetry_space_group_name_H-M 'P 1'
_symmetry_Int_Tables_number 1
_symmetry_space_group_name_Hall 'P 1'
loop_
_atom_site_label
_atom_site_type_symbol
_atom_site_fract_x
_atom_site_fract_y
_atom_site_fract_z
Fe1 Fe 0.000 0.865 0.390
Cu1 Cu 0.000 0.610 0.138
Cu2 Cu 0.500 0.369 0.400
Cu3 Cu 0.000 0.378 0.866
Cu4 Cu 0.500 0.131 0.133
Cu5 Cu 0.500 0.881 0.867
S1 S 0.000 0.993 0.014
S2 S 0.000 0.500 0.508
S3 S 0.500 0.504 0.994
S4 S 0.500 0.997 0.507

***

<Q>
# FeCu5S4 (PBE, relaxed)
# total magnetic moment = 3.8 μB/cell
# SG = R3m, No. 160
# Fermi-level density of states = 0.466 states/eV/atom
data_FeCu5S4
_cell_length_a 12.782
_cell_length_b 12.782
_cell_length_c 12.782
_cell_angle_alpha 17.28
_cell_angle_beta 17.28
_cell_angle_gamma 17.28
_symmetry_space_group_name_H-M 'P 1'
_symmetry_Int_Tables_number 1
_symmetry_space_group_name_Hall 'P 1'
loop_
_atom_site_label
_atom_site_type_symbol
_atom_site_fract_x
_atom_site_fract_y
_atom_site_fract_z
Fe1 Fe 0.694 0.694 0.694
Cu1 Cu 0.560 0.560 0.560
Cu2 Cu 0.168 0.168 0.168
Cu3 Cu 0.314 0.314 0.314
Cu4 Cu 0.435 0.435 0.435
Cu5 Cu 0.941 0.941 0.941
S1 S 0.007 0.007 0.007
S2 S 0.253 0.253 0.253
S3 S 0.753 0.753 0.753
S4 S 0.499 0.499 0.499

***

So which one wins? Going from most stable to least: <P>, <Q>.

***

<P>
# FeCu2S2 (PBE, relaxed)
# total magnetic moment = 13.8 μB/cell
# SG = F-43m, No. 216
# Fermi-level density of states = 0.732 states/eV/atom
data_FeCu2S2
_cell_length_a 7.649
_cell_length_b 7.649
_cell_length_c 7.649
_cell_angle_alpha 60.00
_cell_angle_beta 60.00
_cell_angle_gamma 60.00
_symmetry_space_group_name_H-M 'P 1'
_symmetry_Int_Tables_number 1
_symmetry_space_group_name_Hall 'P 1'
loop_
_atom_site_label
_atom_site_type_symbol
_atom_site_fract_x
_atom_site_fract_y
_atom_site_fract_z
Fe1 Fe 0.624 0.624 0.624
Fe2 Fe 0.128 0.624 0.624
Fe3 Fe 0.624 0.624 0.128
Fe4 Fe 0.624 0.128 0.624
Cu1 Cu 0.898 0.367 0.367
Cu2 Cu 0.120 0.120 0.120
Cu3 Cu 0.367 0.367 0.898
Cu4 Cu 0.367 0.367 0.367
Cu5 Cu 0.367 0.898 0.367
Cu6 Cu 0.641 0.120 0.120
Cu7 Cu 0.120 0.120 0.641
Cu8 Cu 0.120 0.641 0.120
S1 S 0.508 0.992 0.508
S2 S 0.992 0.992 0.508
S3 S 0.992 0.508 0.992
S4 S 0.508 0.508 0.992
S5 S 0.500 0.500 0.500
S6 S 0.992 0.508 0.508
S7 S 0.000 0.000 0.000
S8 S 0.508 0.992 0.992

***

<Q>
# FeCu2S2 (PBE, relaxed)
# total magnetic moment = 14.4 μB/cell
# SG = F-43m, No. 216
# Fermi-level density of states = 0.772 states/eV/atom
data_FeCu2S2
_cell_length_a 7.702
_cell_length_b 7.702
_cell_length_c 7.702
_cell_angle_alpha 60.00
_cell_angle_beta 60.00
_cell_angle_gamma 60.00
_symmetry_space_group_name_H-M 'P 1'
_symmetry_Int_Tables_number 1
_symmetry_space_group_name_Hall 'P 1'
loop_
_atom_site_label
_atom_site_type_symbol
_atom_site_fract_x
_atom_site_fract_y
_atom_site_fract_z
Fe1 Fe 0.121 0.121 0.636
Fe2 Fe 0.121 0.636 0.121
Fe3 Fe 0.121 0.121 0.121
Fe4 Fe 0.636 0.121 0.121
Cu1 Cu 0.837 0.488 0.837
Cu2 Cu 0.837 0.837 0.837
Cu3 Cu 0.856 0.381 0.381
Cu4 Cu 0.488 0.837 0.837
Cu5 Cu 0.381 0.856 0.381
Cu6 Cu 0.381 0.381 0.381
Cu7 Cu 0.381 0.381 0.856
Cu8 Cu 0.837 0.837 0.488
S1 S 0.491 0.009 0.491
S2 S 0.491 0.009 0.009
S3 S 0.009 0.491 0.491
S4 S 0.009 0.491 0.009
S5 S 0.009 0.009 0.491
S6 S 0.000 0.000 0.000
S7 S 0.491 0.491 0.009
S8 S 0.500 0.500 0.500

***

So which one wins? Going from most stable to least: <Q>, <P>.

***

<P>
# Sc2FeCu (PBE, relaxed)
# total magnetic moment = 4.0 μB/cell
# SG = I-42d, No. 122
# Fermi-level density of states = 1.034 states/eV/atom
data_Sc2FeCu
_cell_length_a 4.064
_cell_length_b 4.064
_cell_length_c 9.368
_cell_angle_alpha 77.47
_cell_angle_beta 77.47
_cell_angle_gamma 90.00
_symmetry_space_group_name_H-M 'P 1'
_symmetry_Int_Tables_number 1
_symmetry_space_group_name_Hall 'P 1'
loop_
_atom_site_label
_atom_site_type_symbol
_atom_site_fract_x
_atom_site_fract_y
_atom_site_fract_z
Sc1 Sc 0.619 0.125 0.250
Sc2 Sc 0.131 0.625 0.250
Sc3 Sc 0.375 0.381 0.750
Sc4 Sc 0.875 0.869 0.750
Fe1 Fe 0.500 0.500 0.000
Fe2 Fe 0.250 0.750 0.500
Cu1 Cu 0.000 0.000 0.000
Cu2 Cu 0.750 0.250 0.500

***

<Q>
# Sc2FeCu (PBE, relaxed)
# total magnetic moment = 0.0 μB/cell
# SG = Fm-3m, No. 225
# Fermi-level density of states = 0.941 states/eV/atom
data_Sc2FeCu
_cell_length_a 4.496
_cell_length_b 4.496
_cell_length_c 4.496
_cell_angle_alpha 60.00
_cell_angle_beta 60.00
_cell_angle_gamma 60.00
_symmetry_space_group_name_H-M 'P 1'
_symmetry_Int_Tables_number 1
_symmetry_space_group_name_Hall 'P 1'
loop_
_atom_site_label
_atom_site_type_symbol
_atom_site_fract_x
_atom_site_fract_y
_atom_site_fract_z
Sc1 Sc 0.250 0.250 0.250
Sc2 Sc 0.750 0.750 0.750
Fe1 Fe 0.000 0.000 0.000
Cu1 Cu 0.500 0.500 0.500

***

<R>
# Sc2FeCu (PBE, relaxed)
# total magnetic moment = 0.8 μB/cell
# SG = R-3m, No. 166
# Fermi-level density of states = 0.991 states/eV/atom
data_Sc2FeCu
_cell_length_a 8.269
_cell_length_b 8.269
_cell_length_c 8.269
_cell_angle_alpha 22.11
_cell_angle_beta 22.11
_cell_angle_gamma 22.11
_symmetry_space_group_name_H-M 'P 1'
_symmetry_Int_Tables_number 1
_symmetry_space_group_name_Hall 'P 1'
loop_
_atom_site_label
_atom_site_type_symbol
_atom_site_fract_x
_atom_site_fract_y
_atom_site_fract_z
Cu1 Cu 0.250 0.250 0.250
Fe1 Fe 0.750 0.750 0.750
Sc1 Sc 0.006 0.006 0.006
Sc2 Sc 0.494 0.494 0.494

***

So which one wins? Going from most stable to least: <Q>, <R>, <P>.

***

<P>
# Sc2FeCu (PBE, relaxed)
# total magnetic moment = 1.5 μB/cell
# SG = Cm, No. 8
# Fermi-level density of states = 1.007 states/eV/atom
data_Sc2FeCu
_cell_length_a 5.214
_cell_length_b 5.214
_cell_length_c 4.695
_cell_angle_alpha 74.35
_cell_angle_beta 74.35
_cell_angle_gamma 33.72
_symmetry_space_group_name_H-M 'P 1'
_symmetry_Int_Tables_number 1
_symmetry_space_group_name_Hall 'P 1'
loop_
_atom_site_label
_atom_site_type_symbol
_atom_site_fract_x
_atom_site_fract_y
_atom_site_fract_z
Cu1 Cu 0.475 0.475 0.476
Fe1 Fe 0.772 0.772 0.782
Sc1 Sc 0.023 0.023 0.936
Sc2 Sc 0.230 0.230 0.306

***

<Q>
# Sc2FeCu (PBE, relaxed)
# total magnetic moment = 1.9 μB/cell
# SG = F-43m, No. 216
# Fermi-level density of states = 1.494 states/eV/atom
data_Sc2FeCu
_cell_length_a 4.507
_cell_length_b 4.507
_cell_length_c 4.507
_cell_angle_alpha 60.00
_cell_angle_beta 60.00
_cell_angle_gamma 60.00
_symmetry_space_group_name_H-M 'P 1'
_symmetry_Int_Tables_number 1
_symmetry_space_group_name_Hall 'P 1'
loop_
_atom_site_label
_atom_site_type_symbol
_atom_site_fract_x
_atom_site_fract_y
_atom_site_fract_z
Cu1 Cu 0.500 0.500 0.500
Fe1 Fe 0.750 0.750 0.750
Sc1 Sc 0.000 0.000 0.000
Sc2 Sc 0.250 0.250 0.250

***

So which one wins? Going from most stable to least: <P>, <Q>.